[1]
Compound: SrMnBr
Source: Alexandria via LeMat-Bulk
Functional: PBE
Structure: relaxed

Geometry as CIF:
```
data_SrMnBr
_chemical_formula_sum 'Sr4 Mn4 Br4'
_symmetry_space_group_name_H-M 'F -4 3 m'
_symmetry_Int_Tables_number 216
_symmetry_space_group_name_Hall 'F -4 2 3'
_cell_length_a 7.656
_cell_length_b 7.656
_cell_length_c 7.656
_cell_angle_alpha 90.00
_cell_angle_beta 90.00
_cell_angle_gamma 90.00
loop_
_atom_site_label
_atom_site_type_symbol
_atom_site_fract_x
_atom_site_fract_y
_atom_site_fract_z
Sr1 Sr 0.000 0.000 0.000
Mn1 Mn 0.250 0.250 0.250
Br1 Br 0.250 0.250 0.750
```

Calculated values
E_form (uncorrected): 0.124 eV per atom
DFT total energy: -12.15 eV per formula unit
Total magnetization: 1.37 μB per atom
Calculated volume: 112.2 Å³/f.u.

=====

[2]
Compound: SrMnBr2
Source: Alexandria via LeMat-Bulk
Functional: PBE
Structure: relaxed

Geometry as CIF:
```
data_SrMnBr2
_chemical_formula_sum 'Sr1 Mn1 Br2'
_symmetry_space_group_name_H-M 'P 4/m m m'
_symmetry_Int_Tables_number 123
_symmetry_space_group_name_Hall '-P 4 2'
_cell_length_a 4.022
_cell_length_b 4.022
_cell_length_c 7.303
_cell_angle_alpha 90.00
_cell_angle_beta 90.00
_cell_angle_gamma 90.00
loop_
_atom_site_label
_atom_site_type_symbol
_atom_site_fract_x
_atom_site_fract_y
_atom_site_fract_z
Sr1 Sr 0.000 0.000 0.000
Mn1 Mn 0.000 0.000 0.500
Br1 Br 0.500 0.500 0.231
```

Calculated values
E_form (uncorrected): -0.594 eV per atom
DFT total energy: -16.57 eV per formula unit
Total magnetization: 1.25 μB per atom
Calculated volume: 118.2 Å³/f.u.

=====

[3]
Compound: Sr2MnBr
Source: Alexandria via LeMat-Bulk
Functional: PBE
Structure: relaxed

Geometry as CIF:
```
data_Sr2MnBr
_chemical_formula_sum 'Sr8 Mn4 Br4'
_symmetry_space_group_name_H-M 'F -4 3 m'
_symmetry_Int_Tables_number 216
_symmetry_space_group_name_Hall 'F -4 2 3'
_cell_length_a 8.286
_cell_length_b 8.286
_cell_length_c 8.286
_cell_angle_alpha 90.00
_cell_angle_beta 90.00
_cell_angle_gamma 90.00
loop_
_atom_site_label
_atom_site_type_symbol
_atom_site_fract_x
_atom_site_fract_y
_atom_site_fract_z
Sr1 Sr 0.000 0.000 0.000
Sr2 Sr 0.250 0.250 0.250
Mn1 Mn 0.000 0.000 0.500
Br1 Br 0.250 0.250 0.750
```

Calculated values
E_form (uncorrected): 0.247 eV per atom
DFT total energy: -13.22 eV per formula unit
Total magnetization: 0.98 μB per atom
Calculated volume: 142.2 Å³/f.u.

=====

[4]
Compound: SrMnBr2
Source: Alexandria via LeMat-Bulk
Functional: PBE
Structure: relaxed

Geometry as CIF:
```
data_SrMnBr2
_chemical_formula_sum 'Sr3 Mn3 Br6'
_symmetry_space_group_name_H-M 'R -3 m'
_symmetry_Int_Tables_number 166
_symmetry_space_group_name_Hall '-R 3 2"'
_cell_length_a 4.3800
_cell_length_b 4.3800
_cell_length_c 32.8821
_cell_angle_alpha 90.00
_cell_angle_beta 90.00
_cell_angle_gamma 120.00
loop_
_atom_site_label
_atom_site_type_symbol
_atom_site_fract_x
_atom_site_fract_y
_atom_site_fract_z
Sr1 Sr 0.0000 0.0000 0.0000
Mn1 Mn 0.0000 0.0000 0.5000
Br1 Br 0.0000 0.0000 0.3848
```

Calculated values
E_form (uncorrected): -0.712 eV per atom
DFT total energy: -17.04 eV per formula unit
Total magnetization: 1.25 μB per atom
Calculated volume: 182.1 Å³/f.u.

=====

- Which of these has the highest E_form (uncorrected)?
  Sr2MnBr